Record 1
A plane-wave DFT calculation with GGA-PBE was carried out for NaSrFeMo2 after structural relaxation.

Calculated values
- ΔE_f: 1.08 eV/atom
- DOS at the Fermi energy: 1.19 states/eV/atom
- E_tot: -5.55 eV per atom

Cell lengths 4.5347, 4.5347, 5.6942 Å; angles 90.00, 90.00, 90.00 degrees
Closest atoms and distances in Å follow each position.
Space group P4/mmm (No. 123)
Inequivalent atoms, fractional coordinates:
Na (0.0000, 0.0000, 0.0000) x1  4 Sr 3.21
Sr (0.5000, 0.5000, 0.0000) x1  2 Fe 2.85
Fe (0.5000, 0.5000, 0.5000) x1  4 Mo 2.27
Mo (0.0000, 0.5000, 0.5000) x2  2 Fe 2.27



Record 2
A plane-wave DFT calculation with GGA-PBE was carried out for Nb2FeMo after structural relaxation.

Calculated values
- ΔE_f: 0.67 eV/atom
- DOS at the Fermi energy: 1.15 states/eV/atom
- E_tot: -9.19 eV per atom

Cell lengths 2.6561, 4.9917, 10.2469 Å; angles 90.00, 90.00, 90.00 degrees
Closest atoms and distances in Å follow each position.
Space group Immm (No. 71)
Inequivalent atoms, fractional coordinates:
Nb (0.0000, 0.0000, 0.2354) x4  1 Fe 2.41, 2 Nb 2.66
Fe (0.0000, 0.0000, 0.0000) x2  2 Nb 2.41, 2 Fe 2.66
Mo (0.0000, 0.0000, 0.5000) x2  2 Mo 2.66, 2 Nb 2.71, 4 Fe 2.83



Record 3
A plane-wave DFT calculation with GGA-PBE was carried out for Nb5FeMo4 after structural relaxation.

Calculated values
- ΔE_f: -0.11 eV/atom
- DOS at the Fermi energy: 0.62 states/eV/atom
- E_tot: -10.32 eV per atom

Cell lengths 3.2203, 3.2203, 15.9505 Å; angles 90.00, 90.00, 90.00 degrees
Closest atoms and distances in Å follow each position.
Space group P4/mmm (No. 123)
Inequivalent atoms, fractional coordinates:
Nb (0.0000, 0.0000, 0.0000) x1  8 Mo 2.79
Nb (0.0000, 0.0000, 0.2040) x2  8 Mo 2.79-2.80
Nb (0.0000, 0.0000, 0.4053) x2  4 Fe 2.73, 4 Mo 2.78, 1 Nb 3.02
Fe (0.5000, 0.5000, 0.5000) x1  8 Nb 2.73
Mo (0.5000, 0.5000, 0.1014) x2  8 Nb 2.79-2.80
Mo (0.5000, 0.5000, 0.3056) x2  8 Nb 2.78-2.79, 1 Fe 3.10



Record 4
A plane-wave DFT calculation with GGA-PBE was carried out for Nb2FeMo after structural relaxation.

Calculated values
- ΔE_f: 0.10 eV/atom
- DOS at the Fermi energy: 1.03 states/eV/atom
- E_tot: -9.76 eV per atom

Cell lengths 2.8432, 4.3395, 10.4718 Å; angles 90.00, 96.17, 90.00 degrees
Closest atoms and distances in Å follow each position.
Space group P2_1/m (No. 11)
Inequivalent atoms, fractional coordinates:
Nb (0.0041, 0.2500, 0.1308) x2  6 Fe 2.55-2.75, 2 Nb 2.84
Nb (0.4315, 0.7500, 0.3069) x2  1 Fe 2.43
Fe (0.4530, 0.2500, 0.9194) x2  5 Nb 2.43-2.67
Mo (0.1149, 0.2500, 0.4372) x2  4 Mo 2.66-2.84, 3 Nb 2.76-2.85